No. 1
DFT (PBE-GGA) results for a relaxed TbPuTl2 crystal.

a b c (Å): 7.649 7.649 7.649
angles (deg): 90.00 90.00 90.00
Space group Fm-3m (No. 225)
Symmetry-distinct sites (fractional):
Tb 0.000 0.000 0.000 x4
Pu 0.000 0.000 0.500 x4
Tl 0.250 0.250 0.250 x8

Summary:
**Calculated volume**: 28.0 Å³ per atom
**ΔE_f**: -0.60 eV per formula unit
**Distance to the lowest polymorph of the same formula**: 28.4 meV per atom

No. 2
DFT (PBE-GGA) results for a relaxed LiHgCl2 crystal.

a b c (Å): 7.113 7.113 7.113
angles (deg): 90.00 90.00 90.00
Space group Fm-3m (No. 225)
Symmetry-distinct sites (fractional):
Li 0.000 0.000 0.000 x4
Hg 0.000 0.000 0.500 x4
Cl 0.250 0.250 0.250 x8

Summary:
**Calculated volume**: 22.5 Å³ per atom
**Distance to the lowest polymorph of the same formula**: 234.4 meV per atom
**Raw formation energy**: -720 meV/atom

No. 3
DFT (PBE-GGA) results for a relaxed Ac3ZnSi2Pd9 crystal.

a b c (Å): 6.0704 6.0704 10.0553
angles (deg): 90.00 90.00 120.00
Space group P-3m1 (No. 164)
Symmetry-distinct sites (fractional):
Ac 0.0000 0.0000 0.0000 x1
Ac 0.3333 0.6667 0.6439 x2
Zn 0.0000 0.0000 0.5000 x1
Si 0.3333 0.6667 0.1623 x2
Pd 0.0000 0.5000 0.0000 x3
Pd 0.1582 0.3164 0.3069 x6

Summary:
**Calculated volume**: 21.4 Å³ per atom
**Raw formation energy**: -696 meV/atom

No. 4
DFT (PBE-GGA) results for a relaxed La7Y12Tm crystal.

a b c (Å): 12.1096 12.1096 16.5128
angles (deg): 90.00 90.00 120.00
Space group R-3 (No. 148, hexagonal axes)
Symmetry-distinct sites (fractional):
La 0.0000 0.0000 0.0000 x3
La 0.0535 0.1813 0.2863 x18
Y 0.0301 0.4508 0.2217 x18
Y 0.0535 0.5851 0.5837 x18
Tm 0.0000 0.0000 0.5000 x3

Summary:
**Calculated volume**: 35.0 Å³ per atom
**ΔE_f**: 4.39 eV per formula unit
**Distance to the lowest polymorph of the same formula**: 0.0 meV per atom

No. 5
DFT (PBE-GGA) results for a relaxed SbRuO2F crystal.

a b c (Å): 4.000 4.000 4.200
angles (deg): 90.00 90.00 90.00
Space group P4/mmm (No. 123)
Symmetry-distinct sites (fractional):
Sb 0.000 0.000 0.000 x1
Ru 0.500 0.500 0.500 x1
O 0.000 0.500 0.500 x2
F 0.500 0.500 0.000 x1

Summary:
**Calculated volume**: 13.4 Å³ per atom
**Raw formation energy**: -522 meV/atom

No. 6
DFT (PBE-GGA) results for a relaxed TiTeOF2 crystal.

a b c (Å): 4.767 4.767 4.105
angles (deg): 90.00 90.00 90.00
Space group P4/mmm (No. 123)
Symmetry-distinct sites (fractional):
Ti 0.000 0.000 0.000 x1
Te 0.500 0.500 0.500 x1
O 0.500 0.500 0.000 x1
F 0.000 0.500 0.500 x2

Summary:
**Calculated volume**: 18.7 Å³ per atom
**Distance to the lowest polymorph of the same formula**: 1173.1 meV per atom
**Raw formation energy**: -580 meV/atom

No. 7
DFT (PBE-GGA) results for a relaxed Ba6As2NO crystal.

a b c (Å): 7.561 7.840 13.165
angles (deg): 90.00 125.03 90.00
Space group P2_1/c (No. 14)
Symmetry-distinct sites (fractional):
Ba 0.162 0.206 0.459 x4
Ba 0.249 0.702 0.456 x4
Ba 0.330 0.022 0.249 x4
As 0.231 0.054 0.749 x4
N 0.000 0.000 0.000 x2
O 0.500 0.000 0.500 x2

Summary:
**Calculated volume**: 32.0 Å³ per atom
**Raw formation energy**: -1118 meV/atom

No. 8
DFT (PBE-GGA) results for a relaxed Dy8Zn2Sb crystal.

a b c (Å): 18.135 5.001 7.004
angles (deg): 90.00 102.99 90.00
Space group C2/m (No. 12)
Symmetry-distinct sites (fractional):
Dy 0.032 0.000 0.253 x4
Dy 0.093 0.500 0.956 x4
Dy 0.168 0.500 0.463 x4
Dy 0.205 0.000 0.823 x4
Zn 0.192 0.000 0.229 x4
Sb 0.000 0.500 0.500 x2

Summary:
**Calculated volume**: 28.1 Å³ per atom
**Raw formation energy**: -256 meV/atom

No. 9
DFT (PBE-GGA) results for a relaxed SiH2Ru2 crystal.

a b c (Å): 2.941 2.941 10.520
angles (deg): 90.00 90.00 90.00
Space group I4/mmm (No. 139)
Symmetry-distinct sites (fractional):
Si 0.000 0.000 0.000 x2
H 0.000 0.500 0.250 x4
Ru 0.000 0.000 0.365 x4

Summary:
**Calculated volume**: 9.1 Å³ per atom
**Distance to the lowest polymorph of the same formula**: 0.0 meV per atom

No. 10
DFT (PBE-GGA) results for a relaxed BaTcF3 crystal.

a b c (Å): 5.077 5.077 5.077
angles (deg): 90.00 90.00 90.00
Space group Pm-3m (No. 221)
Symmetry-distinct sites (fractional):
Ba 0.000 0.000 0.000 x1
Tc 0.500 0.500 0.500 x1
F 0.000 0.000 0.500 x3

Summary:
**Calculated volume**: 26.2 Å³ per atom
**Distance to the lowest polymorph of the same formula**: 217.6 meV per atom
**Raw formation energy**: -1540 meV/atom

No. 11
DFT (PBE-GGA) results for a relaxed AcPrCuOs crystal.

a b c (Å): 7.300 7.300 7.300
angles (deg): 90.00 90.00 90.00
Space group F-43m (No. 216)
Symmetry-distinct sites (fractional):
Ac 0.000 0.000 0.000 x4
Pr 0.000 0.000 0.500 x4
Cu 0.250 0.250 0.250 x4
Os 0.250 0.250 0.750 x4

Summary:
**Calculated volume**: 24.3 Å³ per atom
**ΔE_f**: 0.13 eV per formula unit

No. 12
DFT (PBE-GGA) results for a relaxed Ce3HoZr2N6 crystal.

a b c (Å): 5.910 10.239 6.021
angles (deg): 90.00 109.08 90.00
Space group C2/m (No. 12)
Symmetry-distinct sites (fractional):
Ce 0.000 0.000 0.000 x2
Ce 0.000 0.334 0.000 x4
Ho 0.000 0.500 0.500 x2
Zr 0.000 0.167 0.500 x4
N 0.233 0.000 0.728 x4
N 0.248 0.328 0.730 x8

Summary:
**Calculated volume**: 14.3 Å³ per atom
**Raw formation energy**: -1634 meV/atom

No. 13
DFT (PBE-GGA) results for a relaxed Sr3Al2TcO9 crystal.

a b c (Å): 5.4699 5.4699 6.7237
angles (deg): 90.00 90.00 120.00
Space group P-3m1 (No. 164)
Symmetry-distinct sites (fractional):
Sr 0.0000 0.0000 0.0000 x1
Sr 0.3333 0.6667 0.6803 x2
Al 0.3333 0.6667 0.1467 x2
Tc 0.0000 0.0000 0.5000 x1
O 0.0000 0.5000 0.0000 x3
O 0.1680 0.3360 0.3342 x6

Summary:
**Calculated volume**: 11.6 Å³ per atom
**Raw formation energy**: -2589 meV/atom

No. 14
DFT (PBE-GGA) results for a relaxed ThCrCo4 crystal.

a b c (Å): 7.048 7.048 7.048
angles (deg): 90.00 90.00 90.00
Space group F-43m (No. 216)
Symmetry-distinct sites (fractional):
Th 0.000 0.000 0.000 x4
Cr 0.250 0.250 0.750 x4
Co 0.124 0.124 0.376 x16

Summary:
**Calculated volume**: 14.6 Å³ per atom
**ΔE_f**: 0.23 eV per formula unit

No. 15
DFT (PBE-GGA) results for a relaxed Be2SbBr crystal.

a b c (Å): 4.818 4.818 3.123
angles (deg): 90.00 90.00 90.00
Space group P4/mmm (No. 123)
Symmetry-distinct sites (fractional):
Be 0.000 0.500 0.000 x2
Sb 0.000 0.000 0.500 x1
Br 0.500 0.500 0.500 x1

Summary:
**Calculated volume**: 18.1 Å³ per atom
**Distance to the lowest polymorph of the same formula**: 752.9 meV per atom
**Raw formation energy**: 714 meV/atom

No. 16
DFT (PBE-GGA) results for a relaxed FeCuAg2 crystal.

a b c (Å): 4.683 4.683 2.783
angles (deg): 90.00 90.00 90.00
Space group P4/mmm (No. 123)
Symmetry-distinct sites (fractional):
Fe 0.000 0.000 0.000 x1
Cu 0.500 0.500 0.000 x1
Ag 0.000 0.500 0.500 x2

Summary:
**Calculated volume**: 15.3 Å³ per atom
**ΔE_f**: 1.40 eV per formula unit
**Distance to the lowest polymorph of the same formula**: 135.1 meV per atom

No. 17
DFT (PBE-GGA) results for a relaxed GeHOs2 crystal.

a b c (Å): 5.817 5.817 5.817
angles (deg): 90.00 90.00 90.00
Space group Fm-3m (No. 225)
Symmetry-distinct sites (fractional):
Ge 0.000 0.000 0.000 x4
H 0.000 0.000 0.500 x4
Os 0.250 0.250 0.250 x8

Summary:
**Calculated volume**: 12.3 Å³ per atom
**Distance to the lowest polymorph of the same formula**: 404.9 meV per atom

No. 18
DFT (PBE-GGA) results for a relaxed Fe4TcP crystal.

a b c (Å): 6.622 6.622 6.622
angles (deg): 90.00 90.00 90.00
Space group F-43m (No. 216)
Symmetry-distinct sites (fractional):
Fe 0.125 0.125 0.125 x16
Tc 0.000 0.000 0.500 x4
P 0.250 0.250 0.750 x4

Summary:
**Calculated volume**: 12.1 Å³ per atom
**ΔE_f**: 1.77 eV per formula unit

No. 19
DFT (PBE-GGA) results for a relaxed HoEr3In2 crystal.

a b c (Å): 8.882 3.474 21.965
angles (deg): 90.00 90.00 90.00
Space group Pnma (No. 62)
Symmetry-distinct sites (fractional):
Ho 0.156 0.250 0.161 x4
Er 0.039 0.250 0.425 x4
Er 0.108 0.250 0.936 x4
Er 0.216 0.750 0.804 x4
In 0.027 0.250 0.708 x4
In 0.249 0.750 0.043 x4

Summary:
**Calculated volume**: 28.2 Å³ per atom
**ΔE_f**: -1.62 eV per formula unit
**Distance to the lowest polymorph of the same formula**: 0.0 meV per atom

No. 20
DFT (PBE-GGA) results for a relaxed TcHgClO4 crystal.

a b c (Å): 11.317 7.945 8.233
angles (deg): 90.00 120.46 90.00
Space group C2/m (No. 12)
Symmetry-distinct sites (fractional):
Tc 0.120 0.000 0.307 x4
Hg 0.199 0.500 0.166 x4
Cl 0.066 0.500 0.837 x4
O 0.056 0.000 0.842 x4
O 0.154 0.000 0.544 x4
O 0.190 0.177 0.267 x8

Summary:
**Calculated volume**: 22.8 Å³ per atom
**Raw formation energy**: -1031 meV/atom

No. 21
DFT (PBE-GGA) results for a relaxed LiIn6Ga2 crystal.

a b c (Å): 14.877 10.726 5.468
angles (deg): 90.00 98.39 90.00
Space group C2/c (No. 15)
Symmetry-distinct sites (fractional):
Li 0.000 0.126 0.250 x4
In 0.062 0.378 0.519 x8
In 0.106 0.126 0.803 x8
In 0.218 0.127 0.348 x8
Ga 0.169 0.376 0.077 x8

Summary:
**Calculated volume**: 24.0 Å³ per atom
**ΔE_f**: -0.28 eV per formula unit
**Distance to the lowest polymorph of the same formula**: 2.8 meV per atom